Entry 1:
DFT (PBE) results for a relaxed DyIn2Au8 crystal.

```
DyIn2Au8
1.0
-3.5260 2.9737 1.0659
-1.9281 0.5348 -7.8705
-0.8212 -6.2198 4.1227
Au In Dy
8 2 1
Cartesian
-4.4122 0.2430 -4.7603 Au
-1.4095 -1.4578 -0.5957 Au
-1.8555 -0.0618 -5.9658 Au
-2.9781 1.0077 -2.1495 Au
-1.8632 -2.9542 2.0784 Au
-4.4199 -2.6494 3.2838 Au
-3.2973 -3.7189 -0.5325 Au
-4.8659 -1.2534 -2.0862 Au
-2.2732 -1.4698 -3.4191 In
-4.0022 -1.2414 0.7372 In
-1.7630 1.4869 0.5330 Dy
```

distance to the lowest polymorph of the same formula = 0.0 meV per atom
space-group type = C2/m, No. 12

***

Entry 2:
DFT (PBE) results for a relaxed Dy5InAu crystal.

```
Dy5InAu
1.0
6.2827 -1.1783 -0.7328
0.8758 6.3320 -0.7328
1.8414 1.3257 9.8510
Dy In Au
10 2 2
Cartesian
7.7761 2.4367 7.3210 Dy
2.7314 2.9502 4.4966 Dy
6.2684 3.5292 3.8888 Dy
3.8572 5.9385 2.3955 Dy
2.7436 0.9915 -0.4289 Dy
5.1427 0.5408 5.9898 Dy
5.9915 0.1971 1.7300 Dy
1.2237 4.0426 1.0644 Dy
3.0084 6.2823 6.6554 Dy
6.2562 5.4878 8.8143 Dy
4.1579 2.7440 1.7300 In
4.8420 3.7354 6.6554 In
0.9207 0.6628 4.9255 Au
0.0000 0.0000 0.0000 Au
```

space-group type = C2/c, No. 15

***

Entry 3:
DFT (PBE) results for a relaxed DyIn2Au8 crystal.

```
DyIn2Au8
1.0
-1.6125 2.9747 2.4741
-5.3223 0.6294 -4.2254
-1.2303 -6.9644 4.0207
Au In Dy
8 2 1
Cartesian
-4.1554 -3.3778 4.9038 Au
-6.3720 0.1268 -0.7545 Au
-1.5789 -1.4054 0.6607 Au
-1.7931 -3.4871 3.0240 Au
-4.0098 0.0175 -2.6343 Au
-4.5375 -4.0929 1.9637 Au
-6.5862 -1.9549 1.6088 Au
-3.6276 0.7326 0.3058 Au
-4.4026 -2.0135 -0.4484 In
-3.7625 -1.3468 2.7179 In
-0.8062 1.4873 1.2371 Dy
```

distance to the lowest polymorph of the same formula = 7.0 meV per atom
space-group type = C2/m, No. 12

***

Entry 4:
DFT (PBE) results for a relaxed DyIn2Au crystal.

```
DyIn2Au
1.0
0.1608 -4.7261 0.4236
4.6984 0.0993 -0.6756
-1.2693 3.0864 8.3093
Au Dy In
2 2 4
Cartesian
2.9294 0.4362 3.7539 Au
0.6606 -1.9765 4.3035 Au
0.3123 0.2081 2.2024 Dy
3.2776 -1.7484 5.8550 Dy
0.0804 -2.3630 0.2118 In
2.3492 0.0496 -0.3378 In
0.8288 0.5522 5.8451 In
2.7611 -2.0925 2.2123 In
```

space-group type = I4/mmm, No. 139

***

Entry 5:
DFT (PBE) results for a relaxed DyInIrAu crystal.

```
DyInIrAu
1.0
-4.6834 -1.0414 0.6044
-1.4108 -2.7054 3.7516
-2.4743 2.0105 3.6359
In Ir Au Dy
1 1 1 1
Cartesian
-4.2843 -0.8681 3.9959 In
-6.4264 -1.3022 5.9939 Ir
-2.1421 -0.4341 1.9980 Au
0.0000 0.0000 0.0000 Dy
```

space-group type = F-43m, No. 216

***

Entry 6:
DFT (PBE) results for a relaxed LaDy2InAu4 crystal.

```
LaDy2InAu4
1.0
4.9991 0.0000 0.0000
2.4995 4.3293 0.0000
2.4995 1.4431 8.8347
Au Dy In La
4 2 1 1
Cartesian
7.4986 4.3293 3.1550 Au
4.9991 2.8862 1.4321 Au
4.9991 2.8862 7.4026 Au
2.4995 1.4431 5.6797 Au
2.4995 1.4431 2.5489 Dy
7.4986 4.3293 6.2858 Dy
4.9991 2.8862 4.4173 In
0.0000 0.0000 0.0000 La
```

space-group type = R-3m, No. 166

***

Entry 7:
DFT (PBE) results for a relaxed Li2DyInAu2 crystal.

```
Li2DyInAu2
1.0
4.5583 0.0000 0.0000
-2.2792 3.9476 0.0000
0.0000 0.0000 6.4882
Au In Dy Li
2 1 1 2
Cartesian
0.0000 2.6318 1.6266 Au
2.2792 1.3159 4.8617 Au
0.0000 0.0000 3.2441 In
0.0000 0.0000 0.0000 Dy
0.0000 2.6318 4.4301 Li
2.2792 1.3159 2.0582 Li
```

space-group type = P-3m1, No. 164

***

Entry 8:
DFT (PBE) results for a relaxed DyLuInAu crystal.

```
DyLuInAu
1.0
-1.0479 5.0541 -0.2999
-4.1096 1.6336 -2.6786
-4.0984 1.9421 2.4825
Au In Dy Lu
1 1 1 1
Cartesian
0.0000 0.0000 0.0000 Au
-4.6280 4.3149 -0.2480 In
-6.9419 6.4724 -0.3719 Dy
-2.3140 2.1575 -0.1240 Lu
```

space-group type = F-43m, No. 216

***

Entry 9:
DFT (PBE) results for a relaxed DyMgInAu crystal.

```
DyMgInAu
1.0
-1.7715 3.4127 3.2240
0.6952 -0.6093 4.9320
3.1728 2.9972 2.4756
Mg In Au Dy
1 1 1 1
Cartesian
1.5724 4.3505 7.9737 Mg
1.0483 2.9003 5.3158 In
0.0000 0.0000 0.0000 Au
0.5241 1.4502 2.6579 Dy
```

space-group type = F-43m, No. 216

***

Entry 10:
DFT (PBE) results for a relaxed NaDyInAu crystal.

```
NaDyInAu
1.0
5.1135 0.0000 0.0000
2.5568 4.4284 0.0000
2.5568 1.4761 4.1752
Dy Na In Au
1 1 1 1
Cartesian
5.1135 2.9523 2.0876 Dy
0.0000 0.0000 0.0000 Na
7.6703 4.4284 3.1314 In
2.5568 1.4761 1.0438 Au
```

space-group type = F-43m, No. 216

***

Entry 11:
DFT (PBE) results for a relaxed NdDyInAu crystal.

```
NdDyInAu
1.0
-0.2423 3.1028 4.3047
-4.6819 1.8877 1.6533
-2.1732 -1.8425 4.4832
Au Nd Dy In
1 1 1 1
Cartesian
0.0000 0.0000 0.0000 Au
-1.7743 0.7870 2.6103 Nd
-5.3230 2.3610 7.8309 Dy
-3.5487 1.5740 5.2206 In
```

distance to the lowest polymorph of the same formula = 77.6 meV per atom
space-group type = F-43m, No. 216

***

Entry 12:
DFT (PBE) results for a relaxed NdDyInAu crystal.

```
NdDyInAu
1.0
-0.3964 -3.1963 1.7353
2.9890 -1.2809 -1.6763
4.4447 2.6515 5.8992
Nd Au Dy In
1 1 1 1
Cartesian
3.7534 2.2391 4.9816 Nd
3.8855 -0.6940 3.4660 Au
1.6944 1.0108 2.2489 Dy
1.8286 -1.9211 0.7360 In
```

distance to the lowest polymorph of the same formula = 0.0 meV per atom
space-group type = P4mm, No. 99

***

Entry 13:
DFT (PBE) results for a relaxed DyInNiAu crystal.

```
DyInNiAu
1.0
4.8001 0.0000 0.0000
2.4000 4.1570 0.0000
2.4000 1.3857 3.9192
Dy Ni Au In
1 1 1 1
Cartesian
0.0000 0.0000 0.0000 Dy
2.4000 1.3857 0.9798 Ni
7.2001 4.1570 2.9394 Au
4.8001 2.7713 1.9596 In
```

space-group type = F-43m, No. 216

***

Entry 14:
DFT (PBE) results for a relaxed DyInPbAu crystal.

```
DyInPbAu
1.0
-1.0950 3.3628 3.8106
-3.4810 -1.2535 3.6524
1.5683 -0.9772 4.8594
Au Dy In Pb
1 1 1 1
Cartesian
0.0000 0.0000 0.0000 Au
-0.7519 0.2830 3.0806 Dy
-2.2558 0.8491 9.2418 In
-1.5038 0.5661 6.1612 Pb
```

space-group type = F-43m, No. 216

***

Entry 15:
DFT (PBE) results for a relaxed PmDyInAu crystal.

```
PmDyInAu
1.0
-1.2567 1.0395 -3.2626
-2.1764 -2.9256 -0.0938
-5.6627 4.1006 3.4877
Au In Pm Dy
1 1 1 1
Cartesian
-5.0388 1.4627 0.3680 Au
-2.3806 -0.4622 -1.2692 In
-4.7766 3.4590 2.9419 Pm
-2.1546 1.5602 1.3270 Dy
```

distance to the lowest polymorph of the same formula = 0.0 meV per atom
space-group type = P4mm, No. 99

***

Entry 16:
DFT (PBE) results for a relaxed PmDyInAu crystal.

```
PmDyInAu
1.0
5.2927 0.0000 0.0000
2.6464 4.5836 0.0000
2.6464 1.5279 4.3215
Pm Au In Dy
1 1 1 1
Cartesian
2.6464 1.5279 1.0804 Pm
0.0000 0.0000 0.0000 Au
5.2927 3.0558 2.1607 In
7.9391 4.5836 3.2411 Dy
```

distance to the lowest polymorph of the same formula = 71.2 meV per atom
space-group type = F-43m, No. 216

***

Entry 17:
DFT (PBE) results for a relaxed PrDyInAu crystal.

```
PrDyInAu
1.0
-4.5202 1.3057 2.5100
-4.5909 -2.3290 -1.3914
-2.3247 -3.4904 3.2939
In Pr Au Dy
1 1 1 1
Cartesian
-5.7179 -2.2568 2.2062 In
-2.8590 -1.1284 1.1031 Pr
0.0000 0.0000 0.0000 Au
-8.5769 -3.3853 3.3093 Dy
```

space-group type = F-43m, No. 216

***

Entry 18:
DFT (PBE) results for a relaxed PrDy2InAu4 crystal.

```
PrDy2InAu4
1.0
-0.0721 3.6331 3.4574
-3.5904 3.5005 -0.1149
-6.1633 -2.5257 6.1638
In Pr Dy Au
1 1 2 4
Cartesian
-4.9129 2.3040 4.7531 In
0.0000 0.0000 0.0000 Pr
-7.2239 3.6003 6.9811 Dy
-2.6019 1.0076 2.5252 Dy
-3.1479 4.0551 2.9498 Au
-6.6779 0.5528 6.5564 Au
-5.4450 5.3652 5.1636 Au
-4.3809 -0.7573 4.3427 Au
```

space-group type = R-3m, No. 166

***

Entry 19:
DFT (PBE) results for a relaxed DyInPtAu crystal.

```
DyInPtAu
1.0
-0.8245 2.3946 -4.1728
3.0599 -0.5331 -3.7655
-1.4261 -2.4454 -3.9764
Dy Pt Au In
1 1 1 1
Cartesian
0.6069 -0.4379 -8.9360 Dy
0.4046 -0.2920 -5.9573 Pt
0.0000 0.0000 0.0000 Au
0.2023 -0.1460 -2.9787 In
```

space-group type = F-43m, No. 216

***

Entry 20:
DFT (PBE) results for a relaxed DyPuInAu crystal.

```
DyPuInAu
1.0
-1.5567 1.9586 4.6166
-4.9553 -0.6736 1.6010
-1.0493 -3.2317 4.0035
Pu In Dy Au
1 1 1 1
Cartesian
-1.8903 -0.4867 2.5553 Pu
-3.7807 -0.9733 5.1106 In
-5.6710 -1.4600 7.6658 Dy
0.0000 0.0000 0.0000 Au
```

space-group type = F-43m, No. 216

***

Number 1: D(E_F) 3.830 states/eV per cell, energy relative to the elements -0.31 eV per atom. Number 2: D(E_F) 18.559 states/eV per cell, energy relative to the elements -0.24 eV per atom. Number 3: D(E_F) 3.039 states/eV per cell, energy relative to the elements -0.30 eV per atom. Number 4: D(E_F) 2.824 states/eV per cell, energy relative to the elements -0.55 eV per atom. Number 5: D(E_F) 2.877 states/eV per cell, energy relative to the elements -0.51 eV per atom. Number 6: D(E_F) 4.350 states/eV per cell, energy relative to the elements -0.74 eV per atom. Number 7: D(E_F) 5.053 states/eV per cell, energy relative to the elements -0.58 eV per atom. Number 8: D(E_F) 1.946 states/eV per cell, energy relative to the elements -0.62 eV per atom. Number 9: D(E_F) 2.620 states/eV per cell, energy relative to the elements -0.55 eV per atom. Number 10: D(E_F) 1.956 states/eV per cell, energy relative to the elements -0.38 eV per atom. Number 11: D(E_F) 4.305 states/eV per cell, energy relative to the elements -0.58 eV per atom. Number 12: D(E_F) 2.474 states/eV per cell, energy relative to the elements -0.66 eV per atom. Number 13: D(E_F) 2.574 states/eV per cell, energy relative to the elements -0.48 eV per atom. Number 14: D(E_F) 4.199 states/eV per cell, energy relative to the elements -0.31 eV per atom. Number 15: D(E_F) 2.408 states/eV per cell, energy relative to the elements -0.66 eV per atom. Number 16: D(E_F) 4.176 states/eV per cell, energy relative to the elements -0.59 eV per atom. Number 17: D(E_F) 4.365 states/eV per cell, energy relative to the elements -0.57 eV per atom. Number 18: D(E_F) 4.433 states/eV per cell, energy relative to the elements -0.74 eV per atom. Number 19: D(E_F) 1.824 states/eV per cell, energy relative to the elements -0.80 eV per atom. Number 20: D(E_F) 9.870 states/eV per cell, energy relative to the elements -0.38 eV per atom.